A plane-wave DFT calculation with PBE was carried out for crystalline CsSrPdF6 at its relaxed geometry.

## Properties
Its space group is Imma (74). The total energy is -4.66 eV per atom. As for the calculated volume: 19.321 Å³ per atom.

Unit cell a=7.777 b=7.777 c=7.777 alpha=117.46 beta=115.61 gamma=96.12
Element x y z (fractional)
Cs  0.403  0.153  0.250
Cs  0.597  0.847  0.750
Sr  0.000  0.000  0.500
Sr  0.000  0.500  0.000
Pd  0.000  0.500  0.500
Pd  0.500  0.500  0.000
F  0.120  0.870  0.250
F  0.153  0.460  0.344
F  0.153  0.809  0.694
F  0.190  0.440  0.750
F  0.385  0.191  0.844
F  0.385  0.540  0.194
F  0.615  0.460  0.806
F  0.615  0.809  0.156
F  0.810  0.560  0.250
F  0.847  0.191  0.306
F  0.847  0.540  0.656
F  0.880  0.130  0.750